No. 1
VASP calculation (PBE) on a geometry-optimized CoNi3Ge structure.

Computed properties:
- ΔE to the lowest computed polymorph: 688 meV/atom
- Crystal system: cubic
- SG: Pm-3m, No. 221

Cell and atoms, written as POSCAR:
```
CoNi3Ge
1.0
4.273 0.000 0.000
0.000 4.273 0.000
0.000 0.000 4.273
Ni Co Ge
3 1 1
Direct
0.000 0.000 0.500
0.000 0.500 0.000
0.500 0.000 0.000
0.000 0.000 0.000
0.500 0.500 0.500
```

---

No. 2
VASP calculation (PBE) on a geometry-optimized CoNi8Ge6 structure.

Computed properties:
- Crystal system: trigonal
- SG: R-3, No. 148

Cell and atoms, written as POSCAR:
```
CoNi8Ge6
1.0
6.847 0.000 0.000
3.424 5.930 0.000
3.424 1.977 4.914
Ni Ge Co
8 6 1
Direct
0.832 0.563 0.288
0.317 0.832 0.288
0.437 0.683 0.712
0.693 0.693 0.921
0.563 0.317 0.288
0.168 0.437 0.712
0.307 0.307 0.079
0.683 0.168 0.712
0.595 0.970 0.252
0.970 0.183 0.252
0.030 0.817 0.748
0.405 0.030 0.748
0.817 0.405 0.748
0.183 0.595 0.252
0.000 0.000 0.000
```

---

No. 3
VASP calculation (PBE) on a geometry-optimized CoNiGe3 structure.

Computed properties:
- ΔE to the lowest computed polymorph: 0 meV/atom
- Crystal system: triclinic
- SG: P-1, No. 2

Cell and atoms, written as POSCAR:
```
CoNiGe3
1.0
3.040 0.281 0.219
0.832 8.023 -0.332
0.906 1.804 6.383
Ge Co Ni
6 2 2
Direct
0.593 0.909 0.733
0.115 0.522 0.077
0.369 0.383 0.705
0.859 0.714 0.403
0.892 0.996 0.049
0.626 0.190 0.380
0.480 0.754 0.118
0.005 0.151 0.665
0.727 0.608 0.767
0.757 0.297 0.015
```

---

No. 4
VASP calculation (PBE) on a geometry-optimized CoNi5Ge structure.

Computed properties:
- Crystal system: monoclinic
- SG: C2/c, No. 15

Cell and atoms, written as POSCAR:
```
CoNi5Ge
1.0
6.017 -1.303 -0.517
0.673 6.119 -0.517
1.568 1.129 4.145
Ni Ge Co
10 2 2
Direct
0.657 0.026 0.809
0.343 0.974 0.191
0.339 0.185 0.593
0.026 0.657 0.309
0.249 0.751 0.750
0.751 0.249 0.250
0.815 0.661 0.907
0.661 0.815 0.407
0.974 0.343 0.691
0.185 0.339 0.093
0.590 0.410 0.750
0.410 0.590 0.250
0.000 0.000 0.500
0.000 0.000 0.000
```

---

No. 5
VASP calculation (PBE) on a geometry-optimized Co8NiGe6 structure.

Computed properties:
- Crystal system: trigonal
- SG: R-3, No. 148

Cell and atoms, written as POSCAR:
```
Co8NiGe6
1.0
-4.132 -3.694 -3.914
-2.276 -6.006 2.189
-6.021 -1.025 1.443
Ge Co Ni
6 8 1
Direct
0.728 0.408 0.795
0.930 0.272 0.205
0.070 0.728 0.795
0.272 0.592 0.205
0.408 0.070 0.795
0.592 0.930 0.205
0.433 0.780 0.682
0.895 0.567 0.318
0.333 0.333 0.001
0.567 0.220 0.318
0.667 0.667 0.999
0.780 0.105 0.682
0.105 0.433 0.682
0.220 0.895 0.318
0.000 0.000 0.000
```

---

No. 6
VASP calculation (PBE) on a geometry-optimized CoNi5Ge4 structure.

Computed properties:
- Crystal system: orthorhombic
- SG: Pmmn, No. 59

Cell and atoms, written as POSCAR:
```
CoNi5Ge4
1.0
-2.395 1.558 2.495
-0.110 -7.197 4.389
6.411 2.647 4.501
Co Ni Ge
2 10 8
Direct
0.744 0.000 0.000
0.256 0.500 0.500
0.750 0.758 0.843
0.249 0.000 0.500
0.250 0.742 0.657
0.751 0.500 0.000
0.750 0.242 0.157
0.750 0.758 0.157
0.250 0.258 0.343
0.250 0.742 0.343
0.750 0.242 0.843
0.250 0.258 0.657
0.245 0.000 0.810
0.749 0.823 0.500
0.245 0.000 0.190
0.251 0.677 0.000
0.755 0.500 0.310
0.755 0.500 0.690
0.749 0.177 0.500
0.251 0.323 0.000
```

---

It is found that the calculated total energy values, taken in the order of the records, are -24.5 -83.6 -54.2 -80.8 -91.6 -111.5 eV per cell.
It is found that the size of the total moment values, taken in the order of the records, are 3.80 0.00 0.00 6.76 0.00 2.85 μB per cell.